(1)
Sc6Cu5Ag after structural relaxation. Source: Alexandria, functional PBE.

Calculated values
Spin magnetization, μB/cell: 0.0
Uncorrected energy, eV/atom: -5.381
Calculated density, g/cm3: 5.4
SG: Cmmm, No. 65
Crystal system: orthorhombic

abc: 4.670 6.541 7.381
angles: 90.00 71.56 90.00
Atoms (fractional coordinates):
Sc 0.830 0.746 0.341
Sc 0.830 0.254 0.341
Sc 0.500 0.258 0.000
Sc 0.500 0.742 0.000
Sc 0.170 0.746 0.659
Sc 0.170 0.254 0.659
Ag 0.000 0.000 0.000
Cu 0.664 0.500 0.671
Cu 0.334 0.000 0.331
Cu 0.000 0.500 0.000
Cu 0.666 0.000 0.669
Cu 0.336 0.500 0.329


(2)
LaGeAu3 after structural relaxation. Source: Alexandria, functional PBE.

Calculated values
Spin magnetization, μB/cell: 0.0
Uncorrected energy, eV/atom: -4.429
Excess energy over the best structure of this formula in the dataset, eV per formula unit: 0.094
Calculated density, g/cm3: 12.1
SG: P2_1/m, No. 11
Crystal system: monoclinic

abc: 6.406 6.402 6.342
angles: 90.00 90.00 58.17
Atoms (fractional coordinates):
La 0.029 0.231 0.052
La 0.532 0.734 0.552
Ge 0.893 0.098 0.552
Ge 0.668 0.868 0.052
Au 0.116 0.319 0.552
Au 0.445 0.647 0.052
Au 0.516 0.246 0.803
Au 0.516 0.246 0.302
Au 0.045 0.719 0.303
Au 0.045 0.719 0.802


no.,calculated formation energy (meV per atom)
1,-270.8
2,-553.3